TaCdRh3 after structural relaxation, computed with PBE.

Output
Its total magnetic moment is 0.0 Bohr magnetons per cell. Its crystal system is cubic. As for the density of states at the Fermi level: 1.002 states/eV/f.u. The calculation puts the formation energy at 0.65 eV per atom.

CIF file:
```
data_TaCdRh3
_chemical_formula_sum 'Ta1 Cd1 Rh3'
_cell_length_a 4.7352
_cell_length_b 4.7352
_cell_length_c 4.7352
_cell_angle_alpha 90.00
_cell_angle_beta 90.00
_cell_angle_gamma 90.00
_symmetry_space_group_name_H-M 'P m -3 m'
_symmetry_Int_Tables_number 221
_symmetry_space_group_name_Hall '-P 4 2 3'
loop_
_atom_site_label
_atom_site_fract_x
_atom_site_fract_y
_atom_site_fract_z
Ta1 0.0000 0.0000 0.0000
Cd1 0.5000 0.5000 0.5000
Rh1 0.0000 0.0000 0.5000
```

=====

CaSc4Si4O14 after structural relaxation, computed with PBE.

Output
Its total magnetic moment is 0.0 Bohr magnetons per cell. Its crystal system is trigonal. As for the density of states at the Fermi level: 3.082 states/eV/f.u. For the uncorrected formation energy, the calculation gives -2.800 eV/atom.

CIF file:
```
data_CaSc4Si4O14
_chemical_formula_sum 'Ca3 Sc12 Si12 O42'
_cell_length_a 6.3810
_cell_length_b 6.3810
_cell_length_c 23.9931
_cell_angle_alpha 90.00
_cell_angle_beta 90.00
_cell_angle_gamma 120.00
_symmetry_space_group_name_H-M 'R 3 m'
_symmetry_Int_Tables_number 160
_symmetry_space_group_name_Hall 'R 3 -2"'
loop_
_atom_site_label
_atom_site_fract_x
_atom_site_fract_y
_atom_site_fract_z
Ca1 0.0000 0.0000 0.0000
Sc1 0.0000 0.0000 0.7602
Sc2 0.1711 0.3423 0.5594
Si1 0.0000 0.0000 0.2330
Si2 0.0042 0.5021 0.7761
O1 0.0000 0.0000 0.5953
O2 0.0000 0.0000 0.8403
O3 0.0454 0.5227 0.8449
O4 0.0729 0.5365 0.0980
O5 0.1915 0.3831 0.9299
O6 0.2052 0.4104 0.7485
```

=====

LaSm2Zn2Hg2 after structural relaxation, computed with PBE.

Output
Its total magnetic moment is 0.0 Bohr magnetons per cell. Its crystal system is trigonal. As for the density of states at the Fermi level: 4.817 states/eV/f.u. The calculation puts the formation energy at -0.32 eV per atom.

CIF file:
```
data_LaSm2Zn2Hg2
_chemical_formula_sum 'La3 Sm6 Zn6 Hg6'
_cell_length_a 4.7934
_cell_length_b 4.7934
_cell_length_c 27.5746
_cell_angle_alpha 90.00
_cell_angle_beta 90.00
_cell_angle_gamma 120.00
_symmetry_space_group_name_H-M 'R -3 m'
_symmetry_Int_Tables_number 166
_symmetry_space_group_name_Hall '-R 3 2"'
loop_
_atom_site_label
_atom_site_fract_x
_atom_site_fract_y
_atom_site_fract_z
La1 0.0000 0.0000 0.0000
Sm1 0.0000 0.0000 0.1265
Zn1 0.0000 0.0000 0.2539
Hg1 0.0000 0.0000 0.4036
```

=====

Mn2SiNi after structural relaxation, computed with PBE.

Output
Its total magnetic moment is 10.0 Bohr magnetons per cell. Its crystal system is trigonal. As for the density of states at the Fermi level: 4.193 states/eV/f.u. For the uncorrected formation energy, the calculation gives -0.018 eV/atom.

CIF file:
```
data_Mn2SiNi
_chemical_formula_sum 'Mn6 Si3 Ni3'
_cell_length_a 2.5653
_cell_length_b 2.5653
_cell_length_c 23.9768
_cell_angle_alpha 90.00
_cell_angle_beta 90.00
_cell_angle_gamma 120.00
_symmetry_space_group_name_H-M 'R -3 m'
_symmetry_Int_Tables_number 166
_symmetry_space_group_name_Hall '-R 3 2"'
loop_
_atom_site_label
_atom_site_fract_x
_atom_site_fract_y
_atom_site_fract_z
Mn1 0.0000 0.0000 0.2479
Si1 0.0000 0.0000 0.5000
Ni1 0.0000 0.0000 0.0000
```

=====

Y6Cu5Rh after structural relaxation, computed with PBE.

Output
Its total magnetic moment is 0.0 Bohr magnetons per cell. Its crystal system is orthorhombic. As for the density of states at the Fermi level: 8.711 states/eV/f.u. The calculation puts the formation energy at -0.35 eV per atom.

CIF file:
```
data_Y6Cu5Rh
_chemical_formula_sum 'Y12 Cu10 Rh2'
_cell_length_a 4.9104
_cell_length_b 14.7644
_cell_length_c 6.9634
_cell_angle_alpha 90.00
_cell_angle_beta 90.00
_cell_angle_gamma 90.00
_symmetry_space_group_name_H-M 'C m m m'
_symmetry_Int_Tables_number 65
_symmetry_space_group_name_Hall '-C 2 2'
loop_
_atom_site_label
_atom_site_fract_x
_atom_site_fract_y
_atom_site_fract_z
Y1 0.0000 0.0000 0.2460
Y2 0.0000 0.3353 0.2487
Cu1 0.0000 0.1644 0.5000
Cu2 0.0000 0.1700 0.0000
Cu3 0.0000 0.5000 0.5000
Rh1 0.0000 0.5000 0.0000
```

=====

PuGaRh after structural relaxation, computed with PBE.

Output
Its total magnetic moment is 11.1 Bohr magnetons per cell. Its crystal system is tetragonal. As for the density of states at the Fermi level: 7.021 states/eV/f.u. The calculation puts the formation energy at -0.49 eV per atom.

CIF file:
```
data_PuGaRh
_chemical_formula_sum 'Pu2 Ga2 Rh2'
_cell_length_a 3.1486
_cell_length_b 3.1486
_cell_length_c 11.2245
_cell_angle_alpha 90.00
_cell_angle_beta 90.00
_cell_angle_gamma 90.00
_symmetry_space_group_name_H-M 'I 4 m m'
_symmetry_Int_Tables_number 107
_symmetry_space_group_name_Hall 'I 4 -2'
loop_
_atom_site_label
_atom_site_fract_x
_atom_site_fract_y
_atom_site_fract_z
Pu1 0.0000 0.0000 0.0000
Ga1 0.0000 0.0000 0.2993
Rh1 0.0000 0.0000 0.6834
```

=====

SnGe3I8 after structural relaxation, computed with PBE.

Output
Its total magnetic moment is 0.0 Bohr magnetons per cell. Its crystal system is monoclinic. As for the density of states at the Fermi level: 0.000 states/eV/f.u. For the uncorrected formation energy, the calculation gives -0.366 eV/atom.

CIF file:
```
data_SnGe3I8
_chemical_formula_sum 'Sn2 Ge6 I16'
_cell_length_a 15.1416
_cell_length_b 8.7450
_cell_length_c 9.2914
_cell_angle_alpha 90.00
_cell_angle_beta 123.79
_cell_angle_gamma 90.00
_symmetry_space_group_name_H-M 'C 1 2/m 1'
_symmetry_Int_Tables_number 12
_symmetry_space_group_name_Hall '-C 2y'
loop_
_atom_site_label
_atom_site_fract_x
_atom_site_fract_y
_atom_site_fract_z
Sn1 0.0000 0.0000 0.0000
Ge1 0.0000 0.5000 0.0000
Ge2 0.2500 0.2500 0.0000
I1 0.0083 0.2613 0.7690
I2 0.2426 0.5000 0.2224
I3 0.2470 0.5000 0.7691
```

=====

Ta2P after structural relaxation, computed with PBE.

Output
Its total magnetic moment is 0.0 Bohr magnetons per cell. Its crystal system is tetragonal. As for the density of states at the Fermi level: 2.707 states/eV/f.u. The calculation puts the formation energy at 0.00 eV per atom.

CIF file:
```
data_Ta2P
_chemical_formula_sum 'Ta2 P1'
_cell_length_a 4.1279
_cell_length_b 4.1279
_cell_length_c 3.1391
_cell_angle_alpha 90.00
_cell_angle_beta 90.00
_cell_angle_gamma 90.00
_symmetry_space_group_name_H-M 'P 4/m m m'
_symmetry_Int_Tables_number 123
_symmetry_space_group_name_Hall '-P 4 2'
loop_
_atom_site_label
_atom_site_fract_x
_atom_site_fract_y
_atom_site_fract_z
Ta1 0.0000 0.5000 0.0000
P1 0.0000 0.0000 0.5000
```

=====

ErNbH after structural relaxation, computed with PBE.

Output
Its total magnetic moment is 0.0 Bohr magnetons per cell. Its crystal system is monoclinic. As for the density of states at the Fermi level: 2.074 states/eV/f.u.

CIF file:
```
data_ErNbH
_chemical_formula_sum 'Er4 Nb4 H4'
_cell_length_a 11.8221
_cell_length_b 3.2535
_cell_length_c 6.1078
_cell_angle_alpha 90.00
_cell_angle_beta 120.94
_cell_angle_gamma 90.00
_symmetry_space_group_name_H-M 'C 1 m 1'
_symmetry_Int_Tables_number 8
_symmetry_space_group_name_Hall 'C -2y'
loop_
_atom_site_label
_atom_site_fract_x
_atom_site_fract_y
_atom_site_fract_z
Er1 0.0000 0.0000 0.0000
Er2 0.0433 0.5000 0.5573
Nb1 0.2698 0.0000 0.5079
Nb2 0.2776 0.5000 0.1466
H1 0.1592 0.5000 0.3009
H2 0.3913 0.0000 0.1232
```

=====

V2FeCo after structural relaxation, computed with PBE.

Output
Its total magnetic moment is 0.0 Bohr magnetons per cell. Its crystal system is tetragonal. As for the density of states at the Fermi level: 5.718 states/eV/f.u. The calculation puts the formation energy at -0.10 eV per atom.

CIF file:
```
data_V2FeCo
_chemical_formula_sum 'V8 Fe4 Co4'
_cell_length_a 5.4052
_cell_length_b 5.4052
_cell_length_c 6.4352
_cell_angle_alpha 90.00
_cell_angle_beta 90.00
_cell_angle_gamma 90.00
_symmetry_space_group_name_H-M 'I 4/m m m'
_symmetry_Int_Tables_number 139
_symmetry_space_group_name_Hall '-I 4 2'
loop_
_atom_site_label
_atom_site_fract_x
_atom_site_fract_y
_atom_site_fract_z
V1 0.2415 0.2415 0.0000
Fe1 0.0000 0.0000 0.2741
Co1 0.0000 0.5000 0.2500
```

=====

Ge2SeO2 after structural relaxation, computed with PBE.

Output
Its total magnetic moment is 0.0 Bohr magnetons per cell. Its crystal system is tetragonal. As for the density of states at the Fermi level: 2.220 states/eV/f.u. For the uncorrected formation energy, the calculation gives -0.592 eV/atom.

CIF file:
```
data_Ge2SeO2
_chemical_formula_sum 'Ge8 Se4 O8'
_cell_length_a 6.4573
_cell_length_b 6.4573
_cell_length_c 10.5527
_cell_angle_alpha 90.00
_cell_angle_beta 90.00
_cell_angle_gamma 90.00
_symmetry_space_group_name_H-M 'I 41 m d'
_symmetry_Int_Tables_number 109
_symmetry_space_group_name_Hall 'I 4bw -2'
loop_
_atom_site_label
_atom_site_fract_x
_atom_site_fract_y
_atom_site_fract_z
Ge1 0.0000 0.2111 0.0000
Se1 0.0000 0.0000 0.5952
O1 0.0000 0.2977 0.1854
```

=====

KTh2Tl9 after structural relaxation, computed with PBE.

Output
Its total magnetic moment is 0.0 Bohr magnetons per cell. Its crystal system is tetragonal. As for the density of states at the Fermi level: 3.989 states/eV/f.u. The calculation puts the formation energy at -0.10 eV per atom.

CIF file:
```
data_KTh2Tl9
_chemical_formula_sum 'K1 Th2 Tl9'
_cell_length_a 4.8530
_cell_length_b 4.8530
_cell_length_c 14.9663
_cell_angle_alpha 90.00
_cell_angle_beta 90.00
_cell_angle_gamma 90.00
_symmetry_space_group_name_H-M 'P 4/m m m'
_symmetry_Int_Tables_number 123
_symmetry_space_group_name_Hall '-P 4 2'
loop_
_atom_site_label
_atom_site_fract_x
_atom_site_fract_y
_atom_site_fract_z
K1 0.0000 0.0000 0.0000
Th1 0.0000 0.0000 0.3460
Tl1 0.0000 0.5000 0.1749
Tl2 0.0000 0.5000 0.5000
Tl3 0.5000 0.5000 0.0000
Tl4 0.5000 0.5000 0.3345
```

=====

Short version: total DFT energy (no corrections) = -31.59, -548.52, -59.29, -88.84, -141.59, -52.37, -69.29, -29.11, -71.33, -136.77, -102.39, -38.44 eV per cell, in the order given.